The following is a DFT calculation (PBE+U) of an optimized crystal structure of Ba2CoO3.

Structure (extended XYZ):
```
12
Lattice="-4.1513 -2.9045 -4.1892 2.2457 -4.5934 -4.1324 -1.7645 -6.6201 1.8893" Properties=species:S:1:pos:R:3 pbc="T T T"
O -0.7190 -5.5821 -3.6825
O -3.2732 -12.3255 -5.2071
O -1.4015 -5.0702 -0.2816
O -0.3969 -1.7924 -1.2252
O -2.2687 -9.0478 -6.1507
O -2.9511 -8.5358 -2.7498
Ba -1.9952 -3.5440 -2.4724
Ba -0.8556 -7.3879 -1.5098
Ba -1.6749 -10.5739 -3.9599
Ba -2.8146 -6.7301 -4.9225
Co -4.8555 -8.0330 -2.7667
Co 1.1853 -6.0849 -3.6656
```

Properties
DFT total energy: -36.0 eV per formula unit
Crystal system: monoclinic

***

The following is a DFT calculation (PBE+U) of an optimized crystal structure of BaCoO2.

Structure (extended XYZ):
```
8
Lattice="5.2724 -0.2514 -0.4392 -1.6321 5.3921 0.6314 -1.6321 -2.1857 4.9695" Properties=species:S:1:pos:R:3 pbc="T T T"
Ba 2.3222 4.0912 0.9389
Ba -0.3140 -1.1362 4.2229
Co -0.3140 1.8156 2.5331
Co 2.3222 1.1394 2.6287
O -1.3424 1.4730 4.2428
O 0.7143 0.1678 1.9629
O 1.2939 2.7872 3.1989
O 3.3505 1.4820 0.9190
```

Properties
DFT total energy: -23.7 eV per formula unit
Crystal system: monoclinic

***

The following is a DFT calculation (PBE+U) of an optimized crystal structure of BaCo3O.

Structure (extended XYZ):
```
5
Lattice="4.3205 0.0000 0.0000 0.0000 4.3205 0.0000 0.0000 0.0000 4.3205" Properties=species:S:1:pos:R:3 pbc="T T T"
O 0.0000 0.0000 0.0000
Co 0.0000 2.1603 0.0000
Co 0.0000 0.0000 2.1603
Co 2.1603 0.0000 0.0000
Ba 2.1603 2.1603 2.1603
```

Properties
DFT total energy: -18.9 eV per formula unit
Crystal system: cubic

***

The following is a DFT calculation (PBE+U) of an optimized crystal structure of BaCoO2.

Structure (extended XYZ):
```
4
Lattice="-1.8405 3.2793 -1.2370 -2.8375 -2.2143 -1.6483 -2.0597 0.1204 3.3841" Properties=species:S:1:pos:R:3 pbc="T T T"
Ba 0.0000 0.0000 0.0000
Co -3.3689 0.5927 0.2494
O -1.9501 1.6999 1.0736
O -2.4486 -1.0469 0.8679
```

Properties
DFT total energy: -23.4 eV per formula unit
Crystal system: tetragonal

***

The following is a DFT calculation (PBE+U) of an optimized crystal structure of Ba2CoO4.

Structure (extended XYZ):
```
28
Lattice="-6.0483 4.7535 0.3145 -3.3217 -4.0159 -3.1833 -6.0999 -8.1638 6.0837" Properties=species:S:1:pos:R:3 pbc="T T T"
O -9.5784 0.0777 2.0010
O -5.8915 -7.5038 1.2140
O -9.6746 -6.3256 4.8893
O -9.2227 -3.2677 0.4074
O -5.7598 -3.9533 -0.0911
O -6.2471 -4.1585 2.8075
O -8.6995 -0.6411 -1.6390
O -2.3644 -0.7310 -0.2777
O -5.7952 -1.1005 -1.6743
O -6.9044 0.8010 0.2769
O -9.7101 -3.4729 3.3061
O -6.7703 -6.7850 4.8539
O -8.5655 -8.2271 2.9380
O -4.6584 -1.9659 1.8608
O -13.1054 -6.6951 3.4926
O -10.8114 -5.4603 1.3541
Co -8.3995 -7.5354 4.5908
Co -7.0703 0.1092 -1.3759
Co -5.0215 -3.7113 1.5319
Co -10.4483 -3.7149 1.6831
Ba -7.5688 -1.6116 1.7645
Ba -10.3815 -1.0355 4.4130
Ba -11.1582 -8.0991 2.0009
Ba -11.7993 -4.7657 4.8678
Ba -7.9010 -5.8145 1.4505
Ba -5.0883 -6.3907 -1.1980
Ba -4.3116 0.6730 1.2141
Ba -3.6705 -2.6604 -1.6528
```

Properties
DFT total energy: -42.7 eV per formula unit
Crystal system: monoclinic

***

The following is a DFT calculation (PBE+U) of an optimized crystal structure of BaCoO2.

Structure (extended XYZ):
```
4
Lattice="-1.0728 -3.7754 1.9255 -1.3838 -0.0229 4.1468 -4.1857 -0.8814 0.9027" Properties=species:S:1:pos:R:3 pbc="T T T"
O -4.9817 -3.5097 5.2313
O -1.6606 -1.1699 1.7438
Ba -3.3211 -2.3398 3.4875
Co 0.0000 0.0000 0.0000
```

Properties
DFT total energy: -21.0 eV per formula unit
Crystal system: cubic

***

The following is a DFT calculation (PBE+U) of an optimized crystal structure of BaCo4O8.

Structure (extended XYZ):
```
13
Lattice="2.7750 -4.8065 0.0000 2.7750 4.8065 0.0000 0.0000 0.0000 8.0528" Properties=species:S:1:pos:R:3 pbc="T T T"
O 0.9835 -1.7034 2.1988
O 1.9669 0.0000 5.8540
O 0.9835 1.7034 2.1988
O 2.7750 1.6022 0.0000
O 1.7915 3.1030 5.8540
O 2.7750 -1.6022 0.0000
O 3.5831 0.0000 2.1988
O 1.7915 -3.1030 5.8540
Co 2.7750 -1.6022 1.8496
Co 2.7750 1.6022 6.2032
Co 2.7750 1.6022 1.8496
Co 2.7750 -1.6022 6.2032
Ba 0.0000 0.0000 0.0000
```

Properties
DFT total energy: -73.9 eV per formula unit
Crystal system: trigonal

***

The following is a DFT calculation (PBE+U) of an optimized crystal structure of BaCoO2.

Structure (extended XYZ):
```
12
Lattice="-5.3090 -2.2921 -1.4560 4.9299 -1.9094 -2.7586 0.7828 -4.8221 4.7366" Properties=species:S:1:pos:R:3 pbc="T T T"
Co -0.1578 -1.7487 -1.7541
Co 3.3999 -4.3294 1.5473
Co -2.8384 -2.9455 0.7289
O -2.8073 -4.7870 0.0778
O -0.2672 -6.5264 1.1456
O -1.5355 -1.8208 -0.3710
O 2.1094 -5.3162 2.7855
O 3.1456 -4.9619 -0.2834
O 0.5661 -3.6584 -1.7885
Ba 3.3504 -2.0508 -1.0124
Ba 0.2599 -3.8683 0.9065
Ba -2.8152 -5.5155 2.9962
```

Properties
DFT total energy: -24.1 eV per formula unit
Crystal system: trigonal